First-principles (PBE) data for Dy5SnRu3 after structural relaxation, as listed in Alexandria.

Cell: 12.094 8.919 9.760 Å, 90.00 111.18 90.00°
Space group C2/m (No. 12)
Symmetry-distinct sites (fractional):
Dy 0.000 0.203 0.000 (multiplicity 4)
Dy 0.041 0.000 0.349 (multiplicity 4)
Dy 0.175 0.307 0.648 (multiplicity 8)
Dy 0.235 0.500 0.049 (multiplicity 4)
Sn 0.081 0.500 0.289 (multiplicity 4)
Ru 0.000 0.500 0.000 (multiplicity 2)
Ru 0.000 0.500 0.500 (multiplicity 2)
Ru 0.163 0.000 0.165 (multiplicity 4)
Ru 0.182 0.000 0.640 (multiplicity 4)

- DOS(E_F) (states/eV per cell) = 16.6
- ΔE_f (kJ per mole of atoms) = -20.5
- magnetization (μB/cell) = 0.00